No. 1
# CoTeP2O (GGA+U, relaxed)
data_CoTeP2O
_chemical_formula_sum 'Co1 Te1 P2 O1'
_cell_length_a 5.1246
_cell_length_b 5.1246
_cell_length_c 3.8944
_cell_angle_alpha 90.00
_cell_angle_beta 90.00
_cell_angle_gamma 90.00
_symmetry_space_group_name_H-M 'P 4/m m m'
_symmetry_Int_Tables_number 123
_symmetry_space_group_name_Hall '-P 4 2'
loop_
_atom_site_label
_atom_site_type_symbol
_atom_site_fract_x
_atom_site_fract_y
_atom_site_fract_z
Co1 Co 0.0000 0.0000 0.0000
Te1 Te 0.5000 0.5000 0.5000
P1 P 0.0000 0.5000 0.5000
O1 O 0.5000 0.5000 0.0000
# Crystal system   tetragonal
# Total moment   2.1 μB per formula unit
# V   102 Å³/f.u.
# DOS(E_F)   0.7067 states/eV per atom
# Energy relative to the lowest polymorph listed for this composition   0.639 eV per atom



No. 2
# Co3Te2P2O14 (GGA+U, relaxed)
data_Co3Te2P2O14
_chemical_formula_sum 'Co6 Te4 P4 O28'
_cell_length_a 19.0750
_cell_length_b 5.9943
_cell_length_c 4.7965
_cell_angle_alpha 90.00
_cell_angle_beta 102.56
_cell_angle_gamma 90.00
_symmetry_space_group_name_H-M 'C 1 2/m 1'
_symmetry_Int_Tables_number 12
loop_
_symmetry_equiv_pos_as_xyz
'x,y,z'
'-x,-y,-z'
'-x,y,-z'
'x,-y,z'
'x+1/2,y+1/2,z'
'-x+1/2,-y+1/2,-z'
'-x+1/2,y+1/2,-z'
'x+1/2,-y+1/2,z'
loop_
_atom_site_label
_atom_site_type_symbol
_atom_site_fract_x
_atom_site_fract_y
_atom_site_fract_z
Co1 Co 0.0000 0.0000 0.0000
Co2 Co 0.2500 0.2500 0.0000
Te1 Te 0.0967 0.5000 0.0421
P1 P 0.1621 0.0000 0.4114
O1 O 0.0475 0.2572 0.8295
O2 O 0.0806 0.0000 0.3502
O3 O 0.1791 0.5000 0.8551
O4 O 0.1906 0.2100 0.2789
O5 O 0.1949 0.0000 0.7412
# Total DFT energy (no corrections)   -256.62 eV/cell
# Crystal system   monoclinic
# Total moment   13.1 μB per formula unit
# V   268 Å³/f.u.
# DOS(E_F)   0.4187 states/eV per atom



No. 3
# CoTeP2O (GGA+U, relaxed)
data_CoTeP2O
_chemical_formula_sum 'Co1 Te1 P2 O1'
_cell_length_a 4.7102
_cell_length_b 4.7102
_cell_length_c 3.5267
_cell_angle_alpha 90.00
_cell_angle_beta 90.00
_cell_angle_gamma 90.00
_symmetry_space_group_name_H-M 'P 4/m m m'
_symmetry_Int_Tables_number 123
_symmetry_space_group_name_Hall '-P 4 2'
loop_
_atom_site_label
_atom_site_type_symbol
_atom_site_fract_x
_atom_site_fract_y
_atom_site_fract_z
Co1 Co 0.0000 0.0000 0.0000
Te1 Te 0.5000 0.5000 0.5000
P1 P 0.0000 0.5000 0.0000
O1 O 0.0000 0.0000 0.5000
# Crystal system   tetragonal
# Total moment   1.6 μB per formula unit
# V   78 Å³/f.u.
# DOS(E_F)   0.4963 states/eV per atom
# Energy relative to the lowest polymorph listed for this composition   0.000 eV per atom



No. 4
# ThCo2PO8 (GGA+U, relaxed)
data_ThCo2PO8
_chemical_formula_sum 'Th1 Co2 P1 O8'
_cell_length_a 4.9253
_cell_length_b 4.9253
_cell_length_c 6.0865
_cell_angle_alpha 90.00
_cell_angle_beta 90.00
_cell_angle_gamma 120.00
_symmetry_space_group_name_H-M 'P -3 m 1'
_symmetry_Int_Tables_number 164
_symmetry_space_group_name_Hall '-P 3 2"'
loop_
_atom_site_label
_atom_site_type_symbol
_atom_site_fract_x
_atom_site_fract_y
_atom_site_fract_z
Th1 Th 0.0000 0.0000 0.0000
Co1 Co 0.3333 0.6667 0.3945
P1 P 0.0000 0.0000 0.5000
O1 O 0.1607 0.3213 0.6601
O2 O 0.3333 0.6667 0.0991
# Total DFT energy (no corrections)   -80.00 eV/cell
# Crystal system   trigonal
# Total moment   9.0 μB per formula unit
# V   128 Å³/f.u.
# DOS(E_F)   0.4332 states/eV per atom



No. 5
# TiCoP2O (GGA+U, relaxed)
data_TiCoP2O
_chemical_formula_sum 'Ti1 Co1 P2 O1'
_cell_length_a 4.5601
_cell_length_b 4.5601
_cell_length_c 3.4221
_cell_angle_alpha 90.00
_cell_angle_beta 90.00
_cell_angle_gamma 90.00
_symmetry_space_group_name_H-M 'P 4/m m m'
_symmetry_Int_Tables_number 123
_symmetry_space_group_name_Hall '-P 4 2'
loop_
_atom_site_label
_atom_site_type_symbol
_atom_site_fract_x
_atom_site_fract_y
_atom_site_fract_z
Ti1 Ti 0.0000 0.0000 0.0000
Co1 Co 0.5000 0.5000 0.5000
P1 P 0.0000 0.5000 0.5000
O1 O 0.5000 0.5000 0.0000
# Crystal system   tetragonal
# Total moment   1.8 μB per formula unit
# V   71 Å³/f.u.
# DOS(E_F)   0.5465 states/eV per atom
# Energy relative to the lowest polymorph listed for this composition   0.150 eV per atom



No. 6
# TiCoP2O (GGA+U, relaxed)
data_TiCoP2O
_chemical_formula_sum 'Ti1 Co1 P2 O1'
_cell_length_a 4.9013
_cell_length_b 4.9013
_cell_length_c 3.6399
_cell_angle_alpha 90.00
_cell_angle_beta 90.00
_cell_angle_gamma 90.00
_symmetry_space_group_name_H-M 'P 4/m m m'
_symmetry_Int_Tables_number 123
_symmetry_space_group_name_Hall '-P 4 2'
loop_
_atom_site_label
_atom_site_type_symbol
_atom_site_fract_x
_atom_site_fract_y
_atom_site_fract_z
Ti1 Ti 0.0000 0.0000 0.0000
Co1 Co 0.5000 0.5000 0.5000
P1 P 0.0000 0.5000 0.0000
O1 O 0.0000 0.0000 0.5000
# Crystal system   tetragonal
# Total moment   1.8 μB per formula unit
# V   87 Å³/f.u.
# DOS(E_F)   0.6390 states/eV per atom
# Energy relative to the lowest polymorph listed for this composition   0.000 eV per atom



No. 7
# Ti3VCo2P6O24 (GGA+U, relaxed)
data_Ti3VCo2P6O24
_chemical_formula_sum 'Ti9 V3 Co6 P18 O72'
_cell_length_a 8.6496
_cell_length_b 8.6496
_cell_length_c 20.8838
_cell_angle_alpha 90.00
_cell_angle_beta 90.00
_cell_angle_gamma 120.00
_symmetry_space_group_name_H-M 'R 3'
_symmetry_Int_Tables_number 146
_symmetry_space_group_name_Hall 'R 3'
loop_
_atom_site_label
_atom_site_type_symbol
_atom_site_fract_x
_atom_site_fract_y
_atom_site_fract_z
Ti1 Ti 0.0000 0.0000 0.0000
Ti2 Ti 0.0000 0.0000 0.2158
Ti3 Ti 0.0000 0.0000 0.7151
V1 V 0.0000 0.0000 0.4981
Co1 Co 0.0000 0.0000 0.3571
Co2 Co 0.0000 0.0000 0.8587
P1 P 0.0424 0.3750 0.2737
P2 P 0.0425 0.6679 0.7744
O1 O 0.0004 0.1963 0.5463
O2 O 0.0015 0.1880 0.6676
O3 O 0.0018 0.8129 0.1682
O4 O 0.0232 0.1865 0.2802
O5 O 0.0229 0.8364 0.7802
O6 O 0.1526 0.6779 0.7148
O7 O 0.1649 0.4826 0.6044
O8 O 0.1668 0.6910 0.1001
# Total DFT energy (no corrections)   -824.24 eV/cell
# Crystal system   trigonal
# Total moment   7.0 μB per formula unit
# V   451 Å³/f.u.
# DOS(E_F)   0.6049 states/eV per atom



No. 8
# Ti3Co2P6WO24 (GGA+U, relaxed)
data_Ti3Co2P6WO24
_chemical_formula_sum 'Ti9 Co6 P18 W3 O72'
_cell_length_a 8.7055
_cell_length_b 8.7055
_cell_length_c 21.0506
_cell_angle_alpha 90.00
_cell_angle_beta 90.00
_cell_angle_gamma 120.00
_symmetry_space_group_name_H-M 'R 3'
_symmetry_Int_Tables_number 146
_symmetry_space_group_name_Hall 'R 3'
loop_
_atom_site_label
_atom_site_type_symbol
_atom_site_fract_x
_atom_site_fract_y
_atom_site_fract_z
Ti1 Ti 0.0000 0.0000 0.0000
Ti2 Ti 0.0000 0.0000 0.2138
Ti3 Ti 0.0000 0.0000 0.5013
Co1 Co 0.0000 0.0000 0.3556
Co2 Co 0.0000 0.0000 0.8607
P1 P 0.0011 0.7047 0.6070
P2 P 0.0092 0.2936 0.1078
W1 W 0.0000 0.0000 0.7191
O1 O 0.0006 0.1885 0.0470
O2 O 0.0015 0.8137 0.5482
O3 O 0.0038 0.8259 0.2743
O4 O 0.0270 0.2011 0.7854
O5 O 0.0281 0.1967 0.1657
O6 O 0.1308 0.6754 0.3349
O7 O 0.1729 0.6914 0.6016
O8 O 0.1743 0.4818 0.1011
# Total DFT energy (no corrections)   -821.52 eV/cell
# Crystal system   trigonal
# Total moment   8.0 μB per formula unit
# V   461 Å³/f.u.
# DOS(E_F)   0.4421 states/eV per atom



No. 9
# TlCo2P2O7 (GGA+U, relaxed)
data_TlCo2P2O7
_chemical_formula_sum 'Tl3 Co6 P6 O21'
_cell_length_a 5.5547
_cell_length_b 5.5547
_cell_length_c 23.8810
_cell_angle_alpha 90.00
_cell_angle_beta 90.00
_cell_angle_gamma 120.00
_symmetry_space_group_name_H-M 'R 3 2'
_symmetry_Int_Tables_number 155
_symmetry_space_group_name_Hall 'R 3 2"'
loop_
_atom_site_label
_atom_site_type_symbol
_atom_site_fract_x
_atom_site_fract_y
_atom_site_fract_z
Tl1 Tl 0.0000 0.0000 0.0000
Co1 Co 0.0000 0.0000 0.2391
P1 P 0.0000 0.0000 0.4330
O1 O 0.0000 0.0000 0.5000
O2 O 0.0437 0.2830 0.4141
# Total DFT energy (no corrections)   -230.71 eV/cell
# Crystal system   trigonal
# Total moment   5.0 μB per formula unit
# V   213 Å³/f.u.
# DOS(E_F)   0.4326 states/eV per atom